No. 1
## NpAg2HgO6 (PBE)

Data for a relaxed NpAg2HgO6 crystal.

space group = P-1, No. 2
energy relative to the elements, uncorrected = -1.179 eV/atom
mass density = 7.4 g/cm3

a b c (Å): 5.6149 6.8403 6.4972
angles (deg): 51.69 69.11 59.59
Fractional coordinates of all 10 atoms:
Np: 0.3162 0.3162 0.0515
Ag: 0.5103 0.5305 0.3478
Ag: 0.1220 0.1018 0.7553
Hg: 0.8162 0.8162 0.5515
O: 0.4732 0.1645 0.4400
O: 0.3268 0.9612 0.2151
O: 0.9405 0.4258 0.1852
O: 0.3056 0.6709 0.8884
O: 0.6917 0.2067 0.9175
O: 0.1591 0.4679 0.6629

No. 2
## GeIF2 (PBE)

Data for a relaxed GeIF2 crystal.

energy above the most stable polymorph in this dataset = 0.000 eV per formula unit
space group = P2_1/m, No. 11
energy relative to the elements, uncorrected = -1.532 eV/atom
mass density = 3.7 g/cm3

a b c (Å): 4.9761 5.0507 8.4422
angles (deg): 90.00 90.00 90.55
Fractional coordinates of all 8 atoms:
Ge: 0.5016 0.4965 0.2500
Ge: 0.4984 0.5035 0.7500
I: 0.7069 0.9984 0.2500
I: 0.2931 0.0016 0.7500
F: 0.2614 0.4939 0.4065
F: 0.7386 0.5061 0.5935
F: 0.7386 0.5061 0.9065
F: 0.2614 0.4939 0.0935

No. 3
## NaDy4Au5 (PBE)

Data for a relaxed NaDy4Au5 crystal.

space group = P4/mmm, No. 123
energy of formation from the pure elements = -755 meV per atom
mass density = 11.8 g/cm3

a b c (Å): 3.5738 3.5738 18.2581
angles (deg): 90.00 90.00 90.00
Fractional coordinates of all 10 atoms:
Na: 0.0000 0.0000 0.0000
Dy: 0.0000 0.0000 0.1982
Dy: 0.0000 0.0000 0.4002
Dy: 0.0000 0.0000 0.5998
Dy: 0.0000 0.0000 0.8018
Au: 0.5000 0.5000 0.1102
Au: 0.5000 0.5000 0.3021
Au: 0.5000 0.5000 0.5000
Au: 0.5000 0.5000 0.6978
Au: 0.5000 0.5000 0.8898

No. 4
## CaY2PdO (PBE)

Data for a relaxed CaY2PdO crystal.

energy above the most stable polymorph in this dataset = 1.774 eV per formula unit
space group = P4/mmm, No. 123
energy relative to the elements, uncorrected = -1.000 eV/atom
mass density = 4.6 g/cm3

a b c (Å): 4.5303 5.9410 4.5303
angles (deg): 90.00 90.00 90.00
Fractional coordinates of all 5 atoms:
Y: 0.0000 0.0000 0.5000
Y: 0.5000 0.0000 0.0000
Ca: 0.5000 0.5000 0.5000
O: 0.0000 0.0000 0.0000
Pd: 0.0000 0.5000 0.0000

No. 5
## ZnCd (PBE)

Data for a relaxed ZnCd crystal.

space group = Pmmn, No. 59
energy of formation from the pure elements = 79 meV per atom
mass density = 7.8 g/cm3

a b c (Å): 3.0764 4.9686 4.9733
angles (deg): 90.00 90.00 90.00
Fractional coordinates of all 4 atoms:
Zn: 0.0000 0.5000 0.3313
Zn: 0.5000 0.0000 0.5020
Cd: 0.0000 0.0000 0.0198
Cd: 0.5000 0.5000 0.8135

No. 6
## CsK6Rb12 (PBE)

Data for a relaxed CsK6Rb12 crystal.

energy above the most stable polymorph in this dataset = 0.000 eV per formula unit
space group = R-3, No. 148
energy of formation from the pure elements = 6 meV per atom
mass density = 1.4 g/cm3

a b c (Å): 12.1787 13.0900 13.0900
angles (deg): 69.16 71.93 108.07
Fractional coordinates of all 19 atoms:
Cs: 0.0000 0.0000 0.0000
K: 0.4301 0.4740 0.2109
K: 0.0439 0.6849 0.5260
K: 0.3590 0.7891 0.6849
K: 0.5699 0.5260 0.7891
K: 0.9561 0.3151 0.4740
K: 0.6410 0.2109 0.3151
Rb: 0.5182 0.8442 0.2709
Rb: 0.6740 0.8849 0.8442
Rb: 0.7891 0.2709 0.8849
Rb: 0.4818 0.1558 0.7291
Rb: 0.3260 0.1151 0.1558
Rb: 0.2109 0.7291 0.1151
Rb: 0.2654 0.4337 0.6234
Rb: 0.1112 0.3766 0.0571
Rb: 0.1683 0.0571 0.5663
Rb: 0.7346 0.5663 0.3766
Rb: 0.8888 0.6234 0.9429
Rb: 0.8317 0.9429 0.4337